## one
10
Lattice="-2.322 2.322 12.123 2.322 -2.322 12.123 2.322 2.322 -12.123" Properties=species:S:1:pos:R:3 comment="BaZn3Ir, relaxed, DFT PBE" dos_ef_per_ev_atom=0.26 pbc="T T T"
Ba 0.000 0.000 0.000
Ba 0.000 2.322 6.061
Zn 0.000 0.000 8.459
Zn 0.000 1.139 3.125
Zn 0.000 0.000 15.786
Zn -1.183 2.322 8.998
Zn 1.183 2.322 8.998
Zn 0.000 3.505 3.125
Ir 2.322 0.000 4.832
Ir 2.322 0.000 7.291

## two
10
Lattice="3.447 1.990 5.552 -3.447 1.990 5.552 0.000 -3.981 5.552" Properties=species:S:1:pos:R:3 comment="BaZn3Ir, relaxed, DFT PBE" dos_ef_per_ev_atom=0.46 pbc="T T T"
Ba 0.000 0.000 1.754
Ba 0.000 0.000 14.904
Zn -1.362 -0.786 6.947
Zn 0.000 -1.573 9.710
Zn -1.362 0.786 9.710
Zn 1.362 -0.786 6.947
Zn 0.000 1.573 6.947
Zn 1.362 0.786 9.710
Ir 0.000 0.000 4.901
Ir 0.000 0.000 11.756

The energy of each structure relative to the most stable one, in meV per atom, is as follows: one 272; two 0.

## one
10
Lattice="4.856 0.000 0.000 -2.428 4.205 0.000 0.000 0.000 10.240" Properties=species:S:1:pos:R:3 comment="BaZn3Ir, relaxed, DFT PBE" dos_ef_per_ev_atom=0.59 pbc="T T T"
Ba 0.000 2.804 2.560
Ba 2.428 1.402 7.680
Zn 0.000 0.000 2.560
Zn 0.000 0.000 7.680
Zn 0.000 2.804 5.683
Zn 0.000 2.804 9.677
Zn 2.428 1.402 0.563
Zn 2.428 1.402 4.557
Ir 0.000 0.000 0.000
Ir 0.000 0.000 5.120

## two
10
Lattice="8.584 -2.015 0.000 8.584 2.015 0.000 -1.420 0.000 6.744" Properties=species:S:1:pos:R:3 comment="BaZn3Ir, relaxed, DFT PBE" dos_ef_per_ev_atom=0.51 pbc="T T T"
Ba 1.507 0.000 1.185
Ba 14.240 0.000 5.560
Zn 0.220 0.000 4.399
Zn 2.842 0.000 5.830
Zn 4.406 0.000 3.005
Zn 11.341 0.000 3.740
Zn 12.906 0.000 0.914
Zn 15.527 0.000 2.345
Ir 5.988 0.000 1.085
Ir 9.760 0.000 5.660

## three
10
Lattice="6.425 0.000 0.000 3.133 6.036 0.000 3.211 -1.299 5.886" Properties=species:S:1:pos:R:3 comment="BaZn3Ir, relaxed, DFT PBE" dos_ef_per_ev_atom=0.33 pbc="T T T"
Ba 0.000 0.000 0.000
Ba 4.837 2.394 2.839
Zn 6.023 0.899 5.789
Zn 2.951 -0.402 1.866
Zn 9.575 4.239 5.087
Zn 8.223 4.328 2.849
Zn 8.430 1.863 4.799
Zn 7.192 -0.086 3.520
Ir 7.093 3.619 0.645
Ir 8.130 1.799 2.168

## four
10
Lattice="6.592 0.000 0.000 3.254 5.913 0.000 2.653 2.322 5.771" Properties=species:S:1:pos:R:3 comment="BaZn3Ir, relaxed, DFT PBE" dos_ef_per_ev_atom=0.41 pbc="T T T"
Ba 0.000 0.000 0.000
Ba 4.381 5.139 3.486
Zn 2.235 2.161 2.120
Zn 3.971 2.032 0.215
Zn 5.335 1.900 2.662
Zn 7.877 5.777 4.357
Zn 9.307 7.880 5.153
Zn 6.624 3.578 0.930
Ir 7.013 5.996 1.925
Ir 7.171 3.503 3.426

The energy of each structure relative to the most stable one, in meV per atom, is as follows: one 242; two 123; three 0; four 22.

## one
5
Lattice="4.927 0.000 0.000 0.000 4.927 0.000 0.000 0.000 4.927" Properties=species:S:1:pos:R:3 comment="BaZn3Ir, relaxed, DFT PBE" dos_ef_per_ev_atom=0.56 pbc="T T T"
Ba 0.000 0.000 0.000
Zn 0.000 2.463 2.463
Zn 2.463 0.000 2.463
Zn 2.463 2.463 0.000
Ir 2.463 2.463 2.463

## two
10
Lattice="3.755 -11.847 0.000 3.755 11.847 0.000 0.000 0.000 4.635" Properties=species:S:1:pos:R:3 comment="BaZn3Ir, relaxed, DFT PBE" dos_ef_per_ev_atom=0.86 pbc="T T T"
Ba 3.755 8.543 3.476
Ba 3.755 -8.543 1.159
Zn 0.000 0.000 0.000
Zn 0.000 0.000 2.317
Zn 2.519 5.820 1.159
Zn 4.991 5.820 1.159
Zn 2.519 -5.820 3.476
Zn 4.991 -5.820 3.476
Ir 3.755 5.674 3.476
Ir 3.755 -5.674 1.159

The energy of each structure relative to the most stable one, in meV per atom, is as follows: one 0; two 468.

## one
10
Lattice="-2.765 2.765 8.338 2.765 -2.765 8.338 2.765 2.765 -8.338" Properties=species:S:1:pos:R:3 comment="BaZn3Ir, relaxed, DFT PBE" dos_ef_per_ev_atom=0.03 pbc="T T T"
Ba 0.000 0.000 2.683
Ba 0.000 0.000 13.994
Zn 2.765 0.000 0.173
Zn 2.765 1.500 -2.157
Zn 2.765 0.000 8.165
Zn 0.000 1.265 6.182
Zn 1.500 2.765 2.157
Zn 1.265 0.000 10.495
Ir 0.000 0.000 8.338
Ir 0.000 2.765 4.169

## two
20
Lattice="8.804 0.000 0.000 0.000 6.984 0.000 -4.157 0.000 7.738" Properties=species:S:1:pos:R:3 comment="BaZn3Ir, relaxed, DFT PBE" dos_ef_per_ev_atom=0.30 pbc="T T T"
Ba 0.854 1.678 0.286
Ba -1.224 1.814 4.155
Ba 5.872 5.170 3.583
Ba 3.793 5.306 7.452
Zn -1.516 4.273 6.782
Zn 0.563 6.203 2.914
Zn 1.331 3.772 3.067
Zn -0.748 6.704 6.936
Zn 1.038 4.232 5.829
Zn 3.116 6.244 1.960
Zn 1.531 0.740 5.778
Zn 3.610 2.752 1.909
Zn 5.395 0.280 0.802
Zn 3.316 3.212 4.671
Zn 4.084 0.781 4.824
Zn 6.163 2.711 0.955
Ir 2.062 1.292 3.282
Ir -0.017 2.200 7.151
Ir 4.664 4.784 0.587
Ir 2.586 5.692 4.455

## three
10
Lattice="5.123 0.000 0.000 0.000 8.555 0.000 -1.205 0.000 5.932" Properties=species:S:1:pos:R:3 comment="BaZn3Ir, relaxed, DFT PBE" dos_ef_per_ev_atom=0.49 pbc="T T T"
Ba 0.761 2.139 0.522
Ba 3.158 6.416 5.410
Zn 0.651 4.367 3.355
Zn 0.651 8.465 3.355
Zn 1.917 6.416 2.219
Zn 2.001 2.139 3.713
Zn 3.267 0.090 2.577
Zn 3.267 4.188 2.577
Ir -0.582 2.139 3.374
Ir 4.500 6.416 2.558

## four
10
Lattice="4.306 0.000 0.000 -2.153 3.729 0.000 0.000 0.000 18.931" Properties=species:S:1:pos:R:3 comment="BaZn3Ir, relaxed, DFT PBE" dos_ef_per_ev_atom=0.41 pbc="T T T"
Ba 0.000 0.000 0.000
Ba 0.000 0.000 9.466
Zn 0.000 0.000 4.733
Zn 0.000 0.000 14.199
Zn 0.000 2.486 2.331
Zn 0.000 2.486 7.135
Zn 2.153 1.243 11.797
Zn 2.153 1.243 16.600
Ir 0.000 2.486 4.733
Ir 2.153 1.243 14.199

The energy of each structure relative to the most stable one, in meV per atom, is as follows: one 64; two 49; three 0; four 519.

## one
5
Lattice="5.135 0.000 0.000 0.000 5.135 0.000 0.000 0.000 5.135" Properties=species:S:1:pos:R:3 comment="BaZnIr3, relaxed, DFT PBE" dos_ef_per_ev_atom=0.98 pbc="T T T"
Ba 0.000 0.000 0.000
Zn 2.567 2.567 2.567
Ir 0.000 0.000 2.567
Ir 0.000 2.567 0.000
Ir 2.567 0.000 0.000

## two
5
Lattice="4.746 0.000 0.000 0.000 4.746 0.000 0.000 0.000 4.746" Properties=species:S:1:pos:R:3 comment="BaZnIr3, relaxed, DFT PBE" dos_ef_per_ev_atom=1.38 pbc="T T T"
Ba 0.000 0.000 0.000
Zn 2.373 2.373 2.373
Ir 0.000 2.373 2.373
Ir 2.373 0.000 2.373
Ir 2.373 2.373 0.000

The energy of each structure relative to the most stable one, in meV per atom, is as follows: one 1906; two 0.

## one
5
Lattice="-2.149 2.149 5.503 2.149 -2.149 5.503 2.149 2.149 -5.503" Properties=species:S:1:pos:R:3 comment="BaZn2Ir2, relaxed, DFT PBE" dos_ef_per_ev_atom=0.80 pbc="T T T"
Ba 0.000 0.000 0.000
Zn 0.000 0.000 4.133
Zn 0.000 0.000 6.874
Ir 2.149 0.000 2.752
Ir 0.000 2.149 2.752

## two
5
Lattice="-2.242 2.242 5.166 2.242 -2.242 5.166 2.242 2.242 -5.166" Properties=species:S:1:pos:R:3 comment="BaZn2Ir2, relaxed, DFT PBE" dos_ef_per_ev_atom=0.21 pbc="T T T"
Ba 0.000 0.000 0.000
Zn 2.242 0.000 2.583
Zn 0.000 2.242 2.583
Ir 0.000 0.000 3.942
Ir 0.000 0.000 6.391

The energy of each structure relative to the most stable one, in meV per atom, is as follows: one 135; two 0.

## one
6
Lattice="0.000 3.815 3.815 3.815 0.000 3.815 3.815 3.815 0.000" Properties=species:S:1:pos:R:3 comment="BaZn4Ir, relaxed, DFT PBE" dos_ef_per_ev_atom=0.70 pbc="T T T"
Ba 0.000 0.000 0.000
Zn 2.882 2.882 2.882
Zn 4.747 4.747 2.882
Zn 4.747 2.882 4.747
Zn 2.882 4.747 4.747
Ir 5.722 5.722 5.722

## two
6
Lattice="4.847 0.000 0.000 0.000 4.847 0.000 0.000 0.000 7.149" Properties=species:S:1:pos:R:3 comment="BaZn4Ir, relaxed, DFT PBE" dos_ef_per_ev_atom=0.54 pbc="T T T"
Ba 0.000 0.000 0.000
Zn 0.000 2.424 3.574
Zn 2.424 0.000 3.574
Zn 2.424 2.424 1.207
Zn 2.424 2.424 5.941
Ir 2.424 2.424 3.574

The energy of each structure relative to the most stable one, in meV per atom, is as follows: one 103; two 0.

## one
8
Lattice="-3.833 3.833 3.314 3.833 -3.833 3.314 3.833 3.833 -3.314" Properties=species:S:1:pos:R:3 comment="BaZrIr2, relaxed, DFT PBE" dos_ef_per_ev_atom=0.32 pbc="T T T"
Ba 0.000 0.000 0.000
Ba 0.000 3.833 1.657
Zr 3.833 0.000 1.657
Zr 0.000 0.000 3.314
Ir 1.916 2.270 -0.829
Ir 5.395 1.916 0.829
Ir 1.916 1.562 2.486
Ir -1.562 1.916 4.143

## two
4
Lattice="2.241 1.294 5.961 -2.241 1.294 5.961 0.000 -2.587 5.961" Properties=species:S:1:pos:R:3 comment="BaZrIr2, relaxed, DFT PBE" dos_ef_per_ev_atom=0.49 pbc="T T T"
Ba 0.000 0.000 0.000
Zr 0.000 0.000 8.942
Ir 0.000 0.000 3.683
Ir 0.000 0.000 14.200

The energy of each structure relative to the most stable one, in meV per atom, is as follows: one 403; two 0.